Record 1
Entry from Alexandria: an optimized crystal structure of Be2FeAu (PBE-GGA).

Lattice parameters (Å, degrees): 3.970 3.970 4.814 81.63 81.63 38.73
Fractional coordinates of all 4 atoms:
Fe 0.750 0.750 0.750
Be 0.004 0.004 0.948
Be 0.496 0.496 0.552
Au 0.250 0.250 0.250

Properties
The value obtained for the electronic total energy is -4.70 eV/atom.


Record 2
Entry from Alexandria: an optimized crystal structure of Pr6P3S2O (PBE-GGA).

Lattice parameters (Å, degrees): 4.099 8.167 9.108 102.57 103.01 90.00
Fractional coordinates of all 12 atoms:
P 0.831 0.164 0.661
P 0.169 0.836 0.339
P 0.500 0.500 0.000
S 0.835 0.668 0.670
S 0.165 0.332 0.330
Pr 0.335 0.412 0.669
Pr 0.665 0.588 0.331
Pr 0.002 0.764 0.005
Pr 0.342 0.925 0.684
Pr 0.658 0.075 0.316
Pr 0.998 0.236 0.995
O 0.500 0.000 0.000

Properties
The value obtained for the electronic total energy is -6.71 eV/atom. The formation energy without anion corrections comes out at -1.867 eV per atom.